Entry 1:
The following is a DFT calculation (PBE) of an optimized crystal structure of RbTb4ErS8.

abc: 8.3118 8.3118 8.2612
angles: 59.80 59.80 60.00
Element x y z (fractional)
Er 0.0043 0.0043 0.9871
S 0.2275 0.7585 0.2556
S 0.8077 0.2286 0.7351
S 0.2286 0.8077 0.7351
S 0.7585 0.7585 0.2556
S 0.2286 0.2286 0.7351
S 0.7585 0.2275 0.2556
S 0.7573 0.7573 0.7282
S 0.2318 0.2318 0.3046
Tb 0.4860 0.0047 0.5045
Tb 0.0047 0.0047 0.5045
Tb 0.0047 0.4860 0.5045
Tb 0.6247 0.6247 0.1258
Rb 0.3770 0.3770 0.8689

Calculated values
uncorrected formation energy	-1.9047	eV per atom

---

Entry 2:
The following is a DFT calculation (PBE) of an optimized crystal structure of Rb2ErTe2S6.

abc: 7.5192 6.6577 8.9075
angles: 106.02 90.00 124.38
Element x y z (fractional)
Er 0.5000 0.0000 0.5000
S 0.3231 0.0825 0.7597
S 0.7594 0.0825 0.7597
S 0.7500 0.5000 0.5059
S 0.6769 0.9175 0.2403
S 0.2406 0.9175 0.2403
S 0.2500 0.5000 0.4941
Te 0.0828 0.1656 0.2491
Te 0.9172 0.8344 0.7509
Rb 0.6948 0.3895 0.1213
Rb 0.3052 0.6105 0.8787

Calculated values
uncorrected formation energy	-0.7320	eV per atom

---

Entry 3:
The following is a DFT calculation (PBE) of an optimized crystal structure of Rb4Er3ThS8.

abc: 8.1390 9.0233 8.1386
angles: 116.82 120.00 90.00
Element x y z (fractional)
S 0.2699 0.3099 0.5398
S 0.7301 0.6901 0.4602
S 0.7660 0.3057 0.0395
S 0.7266 0.6943 0.9605
S 0.2340 0.6943 0.9605
S 0.2340 0.6943 0.4679
S 0.2734 0.3057 0.0395
S 0.7660 0.3057 0.5321
Rb 0.5000 0.0000 0.5000
Rb 0.0000 0.0000 0.5000
Rb 0.5000 0.0000 0.0000
Rb 0.0000 0.0000 0.0000
Th 0.0000 0.5000 0.0000
Er 0.5000 0.5000 0.5000
Er 0.5000 0.5000 0.0000
Er 0.0000 0.5000 0.5000

Calculated values
uncorrected formation energy	-1.7949	eV per atom

---

Entry 4:
The following is a DFT calculation (PBE) of an optimized crystal structure of Rb3ErTh3S8.

abc: 8.1992 8.1981 9.2053
angles: 116.45 90.00 120.00
Element x y z (fractional)
S 0.2262 0.4523 0.6902
S 0.7348 0.4697 0.7043
S 0.2619 0.0357 0.3097
S 0.2262 0.9643 0.6903
S 0.7738 0.0357 0.3097
S 0.2652 0.5303 0.2957
S 0.7381 0.9643 0.6903
S 0.7738 0.5477 0.3098
Rb 0.0000 0.5000 0.0000
Rb 0.0000 0.0000 0.0000
Rb 0.5000 0.5000 0.0000
Th 0.5000 0.0000 0.5000
Th 0.0000 0.5000 0.5000
Th 0.5000 0.5000 0.5000
Er 0.0000 0.0000 0.5000

Calculated values
uncorrected formation energy	-1.7675	eV per atom

---

Entry 5:
The following is a DFT calculation (PBE) of an optimized crystal structure of Rb3ErTh2S6.

abc: 7.1110 7.1110 8.1213
angles: 98.40 98.40 120.00
Element x y z (fractional)
Rb 0.5000 0.5000 0.5000
Rb 0.8326 0.1674 0.5000
Rb 0.1674 0.8326 0.5000
S 0.9339 0.6073 0.8017
S 0.7399 0.7399 0.1988
S 0.0661 0.3927 0.1983
S 0.3927 0.0661 0.1983
S 0.6073 0.9339 0.8017
S 0.2601 0.2601 0.8012
Th 0.6665 0.3335 0.0000
Th 0.3335 0.6665 0.0000
Er 0.0000 0.0000 0.0000

Calculated values
uncorrected formation energy	-1.7055	eV per atom

---

Entry 6:
The following is a DFT calculation (PBE) of an optimized crystal structure of Rb4ErTh3S8.

abc: 8.2164 9.1262 8.2181
angles: 116.77 119.99 90.00
Element x y z (fractional)
S 0.7711 0.3021 0.5423
S 0.7401 0.6980 0.9690
S 0.2289 0.6979 0.4577
S 0.7711 0.3020 0.0310
S 0.7352 0.7057 0.4705
S 0.2599 0.3020 0.0310
S 0.2289 0.6980 0.9690
S 0.2648 0.2943 0.5295
Rb 0.5000 0.0000 0.5000
Rb 0.0000 0.0000 0.5000
Rb 0.0000 0.0000 0.0000
Rb 0.5000 0.0000 0.0000
Th 0.5000 0.5000 0.0000
Th 0.0000 0.5000 0.5000
Th 0.5000 0.5000 0.5000
Er 0.0000 0.5000 0.0000

Calculated values
uncorrected formation energy	-1.6903	eV per atom

---

Entry 7:
The following is a DFT calculation (PBE) of an optimized crystal structure of Rb2ErThS4.

abc: 4.0887 7.0955 8.0873
angles: 106.83 90.00 90.00
Element x y z (fractional)
S 0.5000 0.7592 0.8005
S 0.0000 0.2739 0.8069
S 0.0000 0.7261 0.1931
S 0.5000 0.2408 0.1995
Rb 0.0000 0.5000 0.5000
Rb 0.5000 0.0000 0.5000
Th 0.0000 0.0000 0.0000
Er 0.5000 0.5000 0.0000

Calculated values
uncorrected formation energy	-1.7383	eV per atom

---

Entry 8:
The following is a DFT calculation (PBE) of an optimized crystal structure of Rb3Er2TiS6.

abc: 6.8274 6.8274 7.9765
angles: 98.23 98.23 119.99
Each line ends with the local moment (μB).
Element x y z (fractional)
S 0.6226 0.9381 0.8143  -0.01
S 0.7469 0.7469 0.1871  -0.01
S 0.2531 0.2531 0.8129  -0.01
S 0.0619 0.3774 0.1857  -0.01
S 0.3774 0.0619 0.1857  -0.01
S 0.9381 0.6226 0.8143  -0.01
Rb 0.1699 0.8301 0.5000  0.00
Rb 0.8301 0.1699 0.5000  0.00
Rb 0.5000 0.5000 0.5000  0.00
Ti 0.0000 0.0000 0.0000  0.83
Er 0.3337 0.6663 0.0000  0.02
Er 0.6663 0.3337 0.0000  0.02

Calculated values
uncorrected formation energy	-1.6285	eV per atom

---

Entry 9:
The following is a DFT calculation (PBE) of an optimized crystal structure of Rb2Er2TiS6.

abc: 6.6410 6.6410 8.1784
angles: 98.20 98.20 119.52
Element x y z (fractional)
Rb 0.8288 0.1712 0.0000
Rb 0.1712 0.8288 0.0000
S 0.6282 0.9359 0.3177
S 0.0641 0.3718 0.6823
S 0.7566 0.7566 0.6804
S 0.3718 0.0641 0.6823
S 0.2434 0.2434 0.3196
S 0.9359 0.6282 0.3177
Er 0.3331 0.6669 0.5000
Er 0.6669 0.3331 0.5000
Ti 0.0000 0.0000 0.5000

Calculated values
uncorrected formation energy	-1.6857	eV per atom

---

Entry 10:
The following is a DFT calculation (PBE) of an optimized crystal structure of Rb2ErTiS4.

abc: 7.0792 7.0792 7.0792
angles: 94.52 117.43 117.43
Each line ends with the local moment (μB).
Element x y z (fractional)
S 0.9155 0.5369 0.1458  -0.01
S 0.3911 0.8542 0.7697  -0.01
S 0.6089 0.3786 0.4631  -0.01
S 0.0845 0.2303 0.6214  -0.01
Rb 0.5000 0.7500 0.2500  0.00
Rb 0.0000 0.0000 0.0000  0.00
Ti 0.0000 0.5000 0.5000  0.82
Er 0.5000 0.2500 0.7500  0.05

Calculated values
uncorrected formation energy	-1.4101	eV per atom

---

Entry 11:
The following is a DFT calculation (PBE) of an optimized crystal structure of Rb3Er2TmS6.

abc: 6.9959 6.9959 8.0241
angles: 98.36 98.36 120.00
Element x y z (fractional)
S 0.3955 0.0633 0.1901
S 0.0633 0.3955 0.1901
S 0.6045 0.9367 0.8099
S 0.9367 0.6045 0.8099
S 0.7312 0.7312 0.1902
S 0.2688 0.2688 0.8098
Rb 0.8330 0.1670 0.5000
Rb 0.5000 0.5000 0.5000
Rb 0.1670 0.8330 0.5000
Tm 0.0000 0.0000 0.0000
Er 0.6666 0.3334 0.0000
Er 0.3334 0.6666 0.0000

Calculated values
uncorrected formation energy	-1.8536	eV per atom

---

Entry 12:
The following is a DFT calculation (PBE) of an optimized crystal structure of Rb4Er3US8.

abc: 8.1256 9.0063 8.1255
angles: 116.82 120.00 90.00
Each line ends with the local moment (μB).
Element x y z (fractional)
S 0.7273 0.6915 0.9594  -0.02
S 0.2321 0.6915 0.9594  -0.02
S 0.2727 0.3085 0.0406  -0.02
S 0.7301 0.6903 0.4602  0.00
S 0.7679 0.3085 0.0406  -0.02
S 0.7679 0.3085 0.5358  -0.02
S 0.2699 0.3097 0.5398  0.00
S 0.2321 0.6915 0.4642  -0.02
Er 0.5000 0.5000 0.0000  0.06
Er 0.5000 0.5000 0.5000  0.06
Er 0.0000 0.5000 0.5000  0.06
Rb 0.5000 0.0000 0.5000  0.00
Rb 0.0000 0.0000 0.5000  0.00
Rb 0.0000 0.0000 0.0000  0.00
Rb 0.5000 0.0000 0.0000  0.00
U 0.0000 0.5000 0.0000  2.55

Calculated values
uncorrected formation energy	-1.7096	eV per atom